A relaxed MnIn2As crystal, computed with PBEsol.

Output
* calculated density: 7.469 g/cm3
* DFT formation energy: 0.296 eV per atom
* N(E_F): 2.13 states/eV/f.u.

Cell: 4.0231 4.4553 4.4590 Å, 90.00 90.00 90.00°
Last column: nearest neighbours and their distance in Å.
Fractional positions:
In 0.0000 0.5000 0.5000  4 As 3.00, 4 Mn 3.00, 4 In 3.15
In 0.0000 0.0000 0.0000  4 Mn 3.00, 4 As 3.00, 4 In 3.15
As 0.5000 0.0000 0.5000  8 In 3.00, 4 Mn 3.15
Mn 0.5000 0.5000 0.0000  8 In 3.00, 4 As 3.15